No. 1
The following is a GGA-PBE calculation of an optimized crystal structure of ErTh2As2Rh7, from the Alexandria database.

Values from the calculation:
The formation enthalpy at 0 K is -0.819 eV per atom. As for the symmetry: C2/m (12).

The structure in CIF format:
```
data_ErTh2As2Rh7
_space_group_name_H-M_alt 'P 1'
_space_group_IT_number 1
_cell_length_a 4.0774
_cell_length_b 4.0774
_cell_length_c 13.4623
_cell_angle_alpha 96.18
_cell_angle_beta 96.18
_cell_angle_gamma 89.47
loop_
_space_group_symop_operation_xyz
'x,y,z'
loop_
_atom_site_label
_atom_site_fract_x
_atom_site_fract_y
_atom_site_fract_z
Er1 0.0000 0.0000 0.0000
Th1 0.1164 0.1164 0.3478
Th2 0.8836 0.8836 0.6522
As1 0.4120 0.4120 0.7471
As2 0.5880 0.5880 0.2529
Rh1 0.0541 0.5548 0.1557
Rh2 0.3378 0.3378 0.5641
Rh3 0.4452 0.9459 0.8443
Rh4 0.5000 0.5000 0.0000
Rh5 0.5548 0.0541 0.1557
Rh6 0.6622 0.6622 0.4359
Rh7 0.9459 0.4452 0.8443
```

No. 2
The following is a GGA-PBE calculation of an optimized crystal structure of ErUAs2Rh5, from the Alexandria database.

Values from the calculation:
The formation enthalpy at 0 K is -0.427 eV per atom. As for the symmetry: P4/mmm (123).

The structure in CIF format:
```
data_ErUAs2Rh5
_space_group_name_H-M_alt 'P 1'
_space_group_IT_number 1
_cell_length_a 3.9379
_cell_length_b 3.9379
_cell_length_c 11.5410
_cell_angle_alpha 90.00
_cell_angle_beta 90.00
_cell_angle_gamma 90.00
loop_
_space_group_symop_operation_xyz
'x,y,z'
loop_
_atom_site_label
_atom_site_fract_x
_atom_site_fract_y
_atom_site_fract_z
Er1 0.0000 0.0000 0.0000
U1 0.5000 0.5000 0.5000
As1 0.5000 0.5000 0.2056
As2 0.5000 0.5000 0.7944
Rh1 0.0000 0.5000 0.3421
Rh2 0.0000 0.5000 0.6579
Rh3 0.5000 0.0000 0.3421
Rh4 0.5000 0.0000 0.6579
Rh5 0.5000 0.5000 0.0000
```

No. 3
The following is a GGA-PBE calculation of an optimized crystal structure of ErZnAs2Rh5, from the Alexandria database.

Values from the calculation:
The formation enthalpy at 0 K is -0.546 eV per atom. As for the symmetry: P4/mmm (123).

The structure in CIF format:
```
data_ErZnAs2Rh5
_space_group_name_H-M_alt 'P 1'
_space_group_IT_number 1
_cell_length_a 4.1419
_cell_length_b 4.1419
_cell_length_c 8.4686
_cell_angle_alpha 90.00
_cell_angle_beta 90.00
_cell_angle_gamma 90.00
loop_
_space_group_symop_operation_xyz
'x,y,z'
loop_
_atom_site_label
_atom_site_fract_x
_atom_site_fract_y
_atom_site_fract_z
Er1 0.0000 0.0000 0.0000
Zn1 0.0000 0.0000 0.5000
As1 0.5000 0.5000 0.1460
As2 0.5000 0.5000 0.8540
Rh1 0.0000 0.5000 0.2877
Rh2 0.0000 0.5000 0.7123
Rh3 0.5000 0.0000 0.2877
Rh4 0.5000 0.0000 0.7123
Rh5 0.5000 0.5000 0.5000
```

No. 4
The following is a GGA-PBE calculation of an optimized crystal structure of ErAs12Ru4, from the Alexandria database.

Values from the calculation:
The formation enthalpy at 0 K is -0.413 eV per atom. As for the symmetry: Im-3 (204).

The structure in CIF format:
```
data_ErAs12Ru4
_space_group_name_H-M_alt 'P 1'
_space_group_IT_number 1
_cell_length_a 7.4305
_cell_length_b 7.4305
_cell_length_c 7.4305
_cell_angle_alpha 109.47
_cell_angle_beta 109.47
_cell_angle_gamma 109.47
loop_
_space_group_symop_operation_xyz
'x,y,z'
loop_
_atom_site_label
_atom_site_fract_x
_atom_site_fract_y
_atom_site_fract_z
Er1 0.0000 0.0000 0.0000
As1 0.1491 0.3481 0.4972
As2 0.1491 0.6519 0.8010
As3 0.1990 0.8509 0.3481
As4 0.3481 0.1990 0.8509
As5 0.3481 0.4972 0.1491
As6 0.4972 0.1491 0.3481
As7 0.5028 0.8509 0.6519
As8 0.6519 0.5028 0.8509
As9 0.6519 0.8010 0.1491
As10 0.8010 0.1491 0.6519
As11 0.8509 0.3481 0.1990
As12 0.8509 0.6519 0.5028
Ru1 0.0000 0.0000 0.5000
Ru2 0.0000 0.5000 0.0000
Ru3 0.5000 0.0000 0.0000
Ru4 0.5000 0.5000 0.5000
```

No. 5
The following is a GGA-PBE calculation of an optimized crystal structure of ErAsRu, from the Alexandria database.

Values from the calculation:
The formation enthalpy at 0 K is -0.665 eV per atom. As for the symmetry: C2/m (12).

The structure in CIF format:
```
data_ErAsRu
_space_group_name_H-M_alt 'P 1'
_space_group_IT_number 1
_cell_length_a 9.9318
_cell_length_b 4.1333
_cell_length_c 6.2560
_cell_angle_alpha 90.00
_cell_angle_beta 102.27
_cell_angle_gamma 90.00
loop_
_space_group_symop_operation_xyz
'x,y,z'
loop_
_atom_site_label
_atom_site_fract_x
_atom_site_fract_y
_atom_site_fract_z
Er1 0.1131 0.0000 0.2631
Er2 0.3869 0.5000 0.7369
Er3 0.6131 0.5000 0.2631
Er4 0.8869 0.0000 0.7369
As1 0.1733 0.0000 0.7422
As2 0.3267 0.5000 0.2578
As3 0.6733 0.5000 0.7422
As4 0.8267 0.0000 0.2578
Ru1 0.1320 0.5000 0.9406
Ru2 0.3680 0.0000 0.0594
Ru3 0.6320 0.0000 0.9406
Ru4 0.8680 0.5000 0.0594
```

No. 6
The following is a GGA-PBE calculation of an optimized crystal structure of Er2AsRu, from the Alexandria database.

Values from the calculation:
The formation enthalpy at 0 K is -0.749 eV per atom. As for the symmetry: P4/mmm (123).

The structure in CIF format:
```
data_Er2AsRu
_space_group_name_H-M_alt 'P 1'
_space_group_IT_number 1
_cell_length_a 3.5106
_cell_length_b 3.5106
_cell_length_c 6.7097
_cell_angle_alpha 90.00
_cell_angle_beta 90.00
_cell_angle_gamma 90.00
loop_
_space_group_symop_operation_xyz
'x,y,z'
loop_
_atom_site_label
_atom_site_fract_x
_atom_site_fract_y
_atom_site_fract_z
Er1 0.0000 0.0000 0.2436
Er2 0.0000 0.0000 0.7564
As1 0.5000 0.5000 0.5000
Ru1 0.5000 0.5000 0.0000
```